Sm6ScCd | GGA-PBE | optimized geometry

abc: 4.9408 4.9408 10.0522
angles: 90.00 90.00 90.00
Positions (direct):
1 Sm 0.5000 0.5000 0.0000
2 Sm 0.5000 0.5000 0.5000
3 Sm 0.5000 0.0000 0.2493
4 Sm 0.5000 0.0000 0.7507
5 Sm 0.0000 0.5000 0.2493
6 Sm 0.0000 0.5000 0.7507
7 Sc 0.0000 0.0000 0.5000
8 Cd 0.0000 0.0000 0.0000

Its electronic total energy is -4.475 eV per atom. Its spin magnetization is 0.0 μB per formula unit. Its density of states at the Fermi level is 11.7 states/eV/f.u. The energy above the most stable polymorph in this dataset comes out at 0.000 eV per atom.

---

Sm4ScCd2 | GGA-PBE | optimized geometry

abc: 5.4975 5.4975 9.1709
angles: 72.56 72.56 60.00
Positions (direct):
1 Sm 0.7341 0.7341 0.7977
2 Sm 0.8697 0.8697 0.3908
3 Sm 0.2659 0.2659 0.2023
4 Sm 0.1303 0.1303 0.6092
5 Sc 0.5000 0.5000 0.5000
6 Cd 0.6121 0.6121 0.1636
7 Cd 0.3879 0.3879 0.8364

Its electronic total energy is -3.772 eV per atom. Its spin magnetization is 0.0 μB per formula unit. Its density of states at the Fermi level is 9.9 states/eV/f.u.

---

Sm4Sc5Cd | GGA-PBE | optimized geometry

abc: 5.4683 7.7615 7.7615
angles: 82.87 69.37 69.37
Positions (direct):
1 Sm 0.4585 0.3150 0.6850
2 Sm 0.7735 0.6850 0.6850
3 Sm 0.1435 0.3150 0.3150
4 Sm 0.4585 0.6850 0.3150
5 Sc 0.7732 0.3660 0.0000
6 Sc 0.1391 0.0000 0.6340
7 Sc 0.7732 0.0000 0.3660
8 Sc 0.1392 0.6340 0.0000
9 Sc 0.6689 0.0000 0.0000
10 Cd 0.1827 0.0000 0.0000

Its electronic total energy is -5.043 eV per atom. Its spin magnetization is 0.0 μB per formula unit. Its density of states at the Fermi level is 15.6 states/eV/f.u.

---

SmSc2Cd5 | GGA-PBE | optimized geometry

abc: 5.0645 5.0645 8.0554
angles: 108.32 108.32 90.00
Positions (direct):
1 Sm 0.0000 0.0000 0.0000
2 Sc 0.2609 0.2609 0.5218
3 Sc 0.7391 0.7391 0.4782
4 Cd 0.5000 0.5000 0.0000
5 Cd 0.6316 0.1316 0.2633
6 Cd 0.1316 0.6316 0.2633
7 Cd 0.3684 0.8684 0.7367
8 Cd 0.8684 0.3684 0.7367

Its electronic total energy is -3.028 eV per atom. Its spin magnetization is 0.0 μB per formula unit. Its density of states at the Fermi level is 4.7 states/eV/f.u.